(1)
Sm8YIn6: relaxed, PBE-GGA.

Properties
- calculated density (Mg/m³) = 6.87
- total DFT energy (no corrections) (eV per atom) = -4.2818
- SG = No. 148
- calculated volume (Å³ per atom) = 31.93
- DFT formation energy (meV per atom) = -239

a b c (Å): 8.4483 8.4483 8.4483
angles (deg): 65.69 65.69 65.69
Atoms (fractional coordinates):
Sm 0.0506 0.3862 0.7198
Sm 0.1657 0.1657 0.1657
Sm 0.2802 0.9494 0.6138
Sm 0.3862 0.7198 0.0506
Sm 0.6138 0.2802 0.9494
Sm 0.7198 0.0506 0.3862
Sm 0.8343 0.8343 0.8343
Sm 0.9494 0.6138 0.2802
Y 0.5000 0.5000 0.5000
In 0.1143 0.7736 0.4445
In 0.2264 0.5555 0.8857
In 0.4445 0.1143 0.7736
In 0.5555 0.8857 0.2264
In 0.7736 0.4445 0.1143
In 0.8857 0.2264 0.5555

***

(2)
Sm2YIn2: relaxed, PBE-GGA.

Properties
- calculated density (Mg/m³) = 6.93
- total DFT energy (no corrections) (eV per atom) = -4.6602
- SG = No. 71
- relative energy among the computed polymorphs (meV per atom) = 9
- calculated volume (Å³ per atom) = 29.66
- DFT formation energy (meV per atom) = -384

a b c (Å): 4.9968 7.0025 8.4775
angles (deg): 90.00 90.00 90.00
Atoms (fractional coordinates):
Sm 0.0000 0.0000 0.1926
Sm 0.0000 0.0000 0.8074
Sm 0.5000 0.5000 0.3074
Sm 0.5000 0.5000 0.6926
Y 0.0000 0.5000 0.0000
Y 0.5000 0.0000 0.5000
In 0.0000 0.2887 0.5000
In 0.0000 0.7113 0.5000
In 0.5000 0.2113 0.0000
In 0.5000 0.7887 0.0000

***

(3)
Sm5Y2In: relaxed, PBE-GGA.

Properties
- calculated density (Mg/m³) = 6.84
- total DFT energy (no corrections) (eV per atom) = -4.9767
- SG = No. 139
- calculated volume (Å³ per atom) = 31.67
- DFT formation energy (meV per atom) = -69

a b c (Å): 7.1365 7.1365 9.9501
angles (deg): 90.00 90.00 90.00
Atoms (fractional coordinates):
Sm 0.0000 0.0000 0.0000
Sm 0.2500 0.2500 0.2500
Sm 0.2500 0.2500 0.7500
Sm 0.2500 0.7500 0.2500
Sm 0.2500 0.7500 0.7500
Sm 0.5000 0.5000 0.5000
Sm 0.7500 0.2500 0.2500
Sm 0.7500 0.2500 0.7500
Sm 0.7500 0.7500 0.2500
Sm 0.7500 0.7500 0.7500
Y 0.0000 0.5000 0.0000
Y 0.0000 0.5000 0.5000
Y 0.5000 0.0000 0.0000
Y 0.5000 0.0000 0.5000
In 0.0000 0.0000 0.5000
In 0.5000 0.5000 0.0000

***

(4)
Sm4YIn4: relaxed, PBE-GGA.

Properties
- calculated density (Mg/m³) = 6.79
- total DFT energy (no corrections) (eV per atom) = -4.1621
- SG = No. 137
- calculated volume (Å³ per atom) = 31.26
- DFT formation energy (meV per atom) = -129

a b c (Å): 7.2035 7.2035 10.8426
angles (deg): 90.00 90.00 90.00
Atoms (fractional coordinates):
Sm 0.0264 0.2500 0.1743
Sm 0.2500 0.0264 0.6743
Sm 0.2500 0.4736 0.6743
Sm 0.4736 0.2500 0.1743
Sm 0.5264 0.7500 0.8257
Sm 0.7500 0.5264 0.3257
Sm 0.7500 0.9736 0.3257
Sm 0.9736 0.7500 0.8257
Y 0.2500 0.7500 0.2500
Y 0.7500 0.2500 0.7500
In 0.0159 0.2500 0.4756
In 0.2500 0.0159 0.9756
In 0.2500 0.4841 0.9756
In 0.4841 0.2500 0.4756
In 0.5159 0.7500 0.5244
In 0.7500 0.5159 0.0244
In 0.7500 0.9841 0.0244
In 0.9841 0.7500 0.5244

***

(5)
Sm2Y6In: relaxed, PBE-GGA.

Properties
- calculated density (Mg/m³) = 5.58
- total DFT energy (no corrections) (eV per atom) = -5.7607
- SG = No. 15
- relative energy among the computed polymorphs (meV per atom) = 0
- calculated volume (Å³ per atom) = 31.40
- DFT formation energy (meV per atom) = -98

a b c (Å): 6.7053 6.7053 15.2975
angles (deg): 93.42 93.42 55.45
Atoms (fractional coordinates):
Sm 0.0877 0.3667 0.1998
Sm 0.3667 0.0877 0.6998
Sm 0.6333 0.9123 0.3002
Sm 0.9123 0.6333 0.8002
Y 0.0511 0.7215 0.0326
Y 0.1712 0.5123 0.4164
Y 0.2617 0.6306 0.6401
Y 0.2785 0.9489 0.4674
Y 0.3694 0.7383 0.8599
Y 0.4877 0.8288 0.0836
Y 0.5123 0.1712 0.9164
Y 0.6306 0.2617 0.1401
Y 0.7215 0.0511 0.5326
Y 0.7383 0.3694 0.3599
Y 0.8288 0.4877 0.5836
Y 0.9489 0.2785 0.9674
In 0.1784 0.8216 0.2500
In 0.8216 0.1784 0.7500

***

(6)
Sm4Y3In: relaxed, PBE-GGA.

Properties
- calculated density (Mg/m³) = 6.22
- total DFT energy (no corrections) (eV per atom) = -5.1514
- SG = No. 71
- relative energy among the computed polymorphs (meV per atom) = 86
- calculated volume (Å³ per atom) = 32.82
- DFT formation energy (meV per atom) = -25

a b c (Å): 3.6981 5.2424 27.0902
angles (deg): 90.00 90.00 90.00
Atoms (fractional coordinates):
Sm 0.0000 0.0000 0.0942
Sm 0.0000 0.0000 0.2170
Sm 0.0000 0.0000 0.7830
Sm 0.0000 0.0000 0.9058
Sm 0.5000 0.5000 0.2830
Sm 0.5000 0.5000 0.4058
Sm 0.5000 0.5000 0.5942
Sm 0.5000 0.5000 0.7170
Y 0.0000 0.0000 0.3528
Y 0.0000 0.0000 0.6472
Y 0.0000 0.5000 0.0000
Y 0.5000 0.0000 0.5000
Y 0.5000 0.5000 0.1472
Y 0.5000 0.5000 0.8528
In 0.0000 0.5000 0.5000
In 0.5000 0.0000 0.0000

***

Q: What is the formula in the first record?
A: Sm8YIn6

***

Q: Look up the calculated volume of the third one.
A: 31.67 Å³ per atom

***

Q: total DFT energy (no corrections) of number 6 (Sm4Y3In)?
A: -5.1514 eV per atom

***

Q: What is the formula in the sixth record?
A: Sm4Y3In